K2VCoW after structural relaxation. Source: the Alexandria database, functional GGA-PBE.

Cell: 6.2783 4.0416 6.2783 Å, 90.00 90.00 90.00°
With the nearest neighbours (Å) after each atom.
Element x y z (fractional)
K (0.0000, 0.0000, 0.5000)  2 V 3.14
K (0.5000, 0.0000, 0.0000)  2 V 3.14
Co (0.0000, 0.5000, 0.0000)  2 V 2.02
W (0.5000, 0.5000, 0.5000)  8 K 3.73, 2 W 4.04
V (0.0000, 0.0000, 0.0000)  2 Co 2.02

Values from the calculation:
The value obtained for the formation energy is 2.47 eV per atom. As for the total energy: -3.805 eV/atom.